VASP calculation (PBE) on crystalline SiTcOs3 at its relaxed geometry.

abc: 4.348 4.348 4.348
angles: 90.00 90.00 90.00
Space group Pm-3m (No. 221)
Asymmetric unit:
Si1 0.000 0.000 0.000
Tc1 0.500 0.500 0.500
Os1 0.000 0.000 0.500

Calculated values
- Distance to the lowest polymorph of the same formula: 0.0000 eV per atom
- Total magnetic moment: 2.552 μB/f.u.
- Raw formation energy: 6.6 eV/f.u.
- E: -0.6307 Ry per atom
- Mass density: 14.076 g/cm3
- Calculated volume: 82.2 Å³/f.u.